No. 1
A plane-wave DFT calculation with PBE was carried out for a relaxed BaNa2NpO6 crystal.

CIF file:
```
data_BaNa2NpO6
_chemical_formula_sum 'Ba2 Na4 Np2 O12'
_space_group_name_H-M_alt 'P 1 21/c 1'
_space_group_IT_number 14
_cell_length_a 5.9921
_cell_length_b 6.3030
_cell_length_c 10.3471
_cell_angle_alpha 90.00
_cell_angle_beta 124.77
_cell_angle_gamma 90.00
loop_
_space_group_symop_operation_xyz
'x,y,z'
'-x,-y,-z'
'-x,y+1/2,-z+1/2'
'x,-y+1/2,z+1/2'
loop_
_atom_site_label
_atom_site_fract_x
_atom_site_fract_y
_atom_site_fract_z
Ba1 0.0000 0.0000 0.0000
Na1 0.2227 0.0270 0.7195
Np1 0.5000 0.0000 0.5000
O1 0.1833 0.1472 0.4743
O2 0.2494 0.7467 0.8895
O3 0.4199 0.1202 0.2981
```

Output
uncorrected energy: -139.03 eV per cell
energy relative to the elements, uncorrected: -22.27 eV/f.u.

***

No. 2
A plane-wave DFT calculation with PBE was carried out for a relaxed HgC2Br2 crystal.

CIF file:
```
data_HgC2Br2
_chemical_formula_sum 'Hg2 C4 Br4'
_space_group_name_H-M_alt 'I 4/m m m'
_space_group_IT_number 139
_space_group_name_Hall '-I 4 2'
_cell_length_a 8.4162
_cell_length_b 8.4162
_cell_length_c 5.2360
_cell_angle_alpha 90.00
_cell_angle_beta 90.00
_cell_angle_gamma 90.00
loop_
_atom_site_label
_atom_site_fract_x
_atom_site_fract_y
_atom_site_fract_z
Hg1 0.0000 0.0000 0.0000
C1 0.0000 0.0000 0.3825
Br1 0.0000 0.5000 0.2500
```

Output
uncorrected energy: -36.48 eV per cell
energy relative to the elements, uncorrected: 3.86 eV/f.u.
energy above the most stable polymorph in this dataset: 0.0 meV/atom

***

No. 3
A plane-wave DFT calculation with PBE was carried out for a relaxed CoReSi2 crystal.

CIF file:
```
data_CoReSi2
_chemical_formula_sum 'Co4 Re4 Si8'
_space_group_name_H-M_alt 'F -4 3 m'
_space_group_IT_number 216
_space_group_name_Hall 'F -4 2 3'
_cell_length_a 5.8945
_cell_length_b 5.8945
_cell_length_c 5.8945
_cell_angle_alpha 90.00
_cell_angle_beta 90.00
_cell_angle_gamma 90.00
loop_
_atom_site_label
_atom_site_fract_x
_atom_site_fract_y
_atom_site_fract_z
Co1 0.0000 0.0000 0.0000
Re1 0.2500 0.2500 0.2500
Si1 0.0000 0.0000 0.5000
Si2 0.2500 0.2500 0.7500
```

Output
uncorrected energy: -117.56 eV per cell
energy relative to the elements, uncorrected: 1.01 eV/f.u.
energy above the most stable polymorph in this dataset: 541.7 meV/atom

***

No. 4
A plane-wave DFT calculation with PBE was carried out for a relaxed Rb2InBi2 crystal.

CIF file:
```
data_Rb2InBi2
_chemical_formula_sum 'Rb4 In2 Bi4'
_space_group_name_H-M_alt 'P 4/m b m'
_space_group_IT_number 127
_space_group_name_Hall '-P 4 2ab'
_cell_length_a 11.1409
_cell_length_b 11.1409
_cell_length_c 3.4199
_cell_angle_alpha 90.00
_cell_angle_beta 90.00
_cell_angle_gamma 90.00
loop_
_atom_site_label
_atom_site_fract_x
_atom_site_fract_y
_atom_site_fract_z
Rb1 0.1212 0.3788 0.0000
In1 0.0000 0.0000 0.0000
Bi1 0.1775 0.6775 0.5000
```

Output
formation energy from the elements: 5 kJ per mole of atoms
uncorrected energy: -24.31 eV per cell
energy above the most stable polymorph in this dataset: 349.3 meV/atom